Entry 1:
VGa3I | PBE | optimized geometry

V   27.5 Å³ per atom
Formation energy from raw total energies   0.328 eV per atom
Density of states at the Fermi level   2.0 states/eV/f.u.

Cell lengths 5.160, 5.160, 5.160 Å; angles 90.00, 90.00, 90.00 degrees
Space group Pm-3m (No. 221)
Asymmetric unit:
V (0.000, 0.000, 0.000)
Ga (0.000, 0.000, 0.500)
I (0.500, 0.500, 0.500)



Entry 2:
Y2Sc3Ir2 | PBE | optimized geometry

V   23.0 Å³ per atom
Density of states at the Fermi level   7.9 states/eV/f.u.
Energy of formation   -0.652 eV per atom

Cell lengths 11.309, 3.820, 8.335 Å; angles 90.00, 116.54, 90.00 degrees
Space group C2/m (No. 12)
Asymmetric unit:
Y (0.154, 0.000, 0.298)
Sc (0.000, 0.500, 0.500)
Sc (0.125, 0.500, 0.935)
Ir (0.163, 0.000, 0.731)



Entry 3:
IrOs2Pt | PBE | optimized geometry

V   14.7 Å³ per atom
Density of states at the Fermi level   3.6 states/eV/f.u.
Energy of formation   0.103 eV per atom

Cell lengths 9.141, 2.734, 4.763 Å; angles 90.00, 99.71, 90.00 degrees
Space group Cm (No. 8)
Asymmetric unit:
Ir (0.000, 0.000, 0.000)
Os (0.010, 0.500, 0.520)
Os (0.254, 0.000, 0.754)
Pt (0.256, 0.500, 0.259)



Entry 4:
Li4CaMg2 | PBE | optimized geometry

V   23.4 Å³ per atom
Density of states at the Fermi level   3.4 states/eV/f.u.
Energy of formation   -0.031 eV per atom

Cell lengths 7.420, 7.420, 5.950 Å; angles 90.00, 90.00, 90.00 degrees
Space group I4/mmm (No. 139)
Asymmetric unit:
Li (0.192, 0.192, 0.000)
Ca (0.000, 0.000, 0.500)
Mg (0.000, 0.500, 0.250)



Entry 5:
AlAg4Bi | PBE | optimized geometry

V   20.8 Å³ per atom
Density of states at the Fermi level   3.3 states/eV/f.u.
Energy of formation   0.150 eV per atom

Cell lengths 7.930, 7.930, 7.930 Å; angles 90.00, 90.00, 90.00 degrees
Space group F-43m (No. 216)
Asymmetric unit:
Al (0.000, 0.000, 0.000)
Ag (0.125, 0.125, 0.625)
Bi (0.250, 0.250, 0.250)



Entry 6:
ScSiPd2 | PBE | optimized geometry

V   17.6 Å³ per atom
Formation energy from raw total energies   -0.477 eV per atom
Density of states at the Fermi level   2.2 states/eV/f.u.

Cell lengths 4.037, 4.037, 17.291 Å; angles 90.00, 90.00, 90.00 degrees
Space group I-42d (No. 122)
Asymmetric unit:
Sc (0.000, 0.000, 0.000)
Si (0.000, 0.000, 0.500)
Pd (0.224, 0.250, 0.625)



Entry 7:
Al3SnP | PBE | optimized geometry

V   27.4 Å³ per atom
Density of states at the Fermi level   1.3 states/eV/f.u.
Energy of formation   1.035 eV per atom

Cell lengths 5.155, 5.155, 5.155 Å; angles 90.00, 90.00, 90.00 degrees
Space group Pm-3m (No. 221)
Asymmetric unit:
Al (0.000, 0.000, 0.500)
Sn (0.000, 0.000, 0.000)
P (0.500, 0.500, 0.500)



Entry 8:
K3BeCo | PBE | optimized geometry

V   48.5 Å³ per atom
Density of states at the Fermi level   5.6 states/eV/f.u.
Energy of formation   1.216 eV per atom

Cell lengths 6.236, 6.236, 6.236 Å; angles 90.00, 90.00, 90.00 degrees
Space group Pm-3m (No. 221)
Asymmetric unit:
K (0.000, 0.000, 0.500)
Be (0.000, 0.000, 0.000)
Co (0.500, 0.500, 0.500)



Entry 9:
ZnSbHI2 | PBE | optimized geometry

V   34.7 Å³ per atom
Energy   -1.73 eV per atom
Density of states at the Fermi level   2.6 states/eV/f.u.

Cell lengths 5.808, 5.808, 5.145 Å; angles 90.00, 90.00, 90.00 degrees
Space group P4/mmm (No. 123)
Asymmetric unit:
Zn (0.000, 0.000, 0.000)
Sb (0.000, 0.000, 0.500)
H (0.500, 0.500, 0.500)
I (0.000, 0.500, 0.000)



Entry 10:
BeRh2 | PBE | optimized geometry

V   14.7 Å³ per atom
Density of states at the Fermi level   1.7 states/eV/f.u.
Energy of formation   0.347 eV per atom

Cell lengths 4.9753, 4.9753, 8.2527 Å; angles 90.00, 90.00, 120.00 degrees
Space group P6_3/mmc (No. 194)
Asymmetric unit:
Be (0.3333, 0.6667, 0.1020)
Rh (0.0000, 0.0000, 0.0000)
Rh (0.1714, 0.3428, 0.7500)



Entry 11:
Pm5Te4Pb | PBE | optimized geometry

V   32.0 Å³ per atom
Formation energy from raw total energies   -1.278 eV per atom
Density of states at the Fermi level   5.3 states/eV/f.u.

Cell lengths 10.047, 10.047, 6.332 Å; angles 90.00, 90.00, 90.00 degrees
Space group I4/m (No. 87)
Asymmetric unit:
Pm (0.000, 0.000, 0.000)
Pm (0.099, 0.703, 0.500)
Te (0.099, 0.699, 0.000)
Pb (0.000, 0.000, 0.500)



Entry 12:
Ba2Li3ErBi4 | PBE | optimized geometry

V   31.1 Å³ per atom
Density of states at the Fermi level   4.2 states/eV/f.u.
Energy of formation   -0.713 eV per atom

Cell lengths 5.057, 5.057, 12.164 Å; angles 90.00, 90.00, 90.00 degrees
Space group P-4m2 (No. 115)
Asymmetric unit:
Ba (0.000, 0.500, 0.223)
Li (0.000, 0.500, 0.882)
Li (0.500, 0.500, 0.500)
Er (0.000, 0.000, 0.500)
Bi (0.000, 0.000, 0.000)
Bi (0.000, 0.500, 0.644)
Bi (0.500, 0.500, 0.000)



Please write out number 10 again, unchanged.
BeRh2 | PBE | optimized geometry

V   14.7 Å³ per atom
Density of states at the Fermi level   1.7 states/eV/f.u.
Energy of formation   0.347 eV per atom

Cell lengths 4.9753, 4.9753, 8.2527 Å; angles 90.00, 90.00, 120.00 degrees
Space group P6_3/mmc (No. 194)
Asymmetric unit:
Be (0.3333, 0.6667, 0.1020)
Rh (0.0000, 0.0000, 0.0000)
Rh (0.1714, 0.3428, 0.7500)